A relaxed structure of Co2ReOs2, computed with GGA-PBE.

Output
* DFT formation energy: 0.247 eV/atom
* magnetic moment: 1.59 Bohr magnetons per cell

abc: 6.9262 6.9262 2.7140
angles: 90.00 90.00 90.00
Last column: magnetic moment on the atom in μB.
Sites, in units of the cell vectors:
Re: 0.0000 0.0000 0.0000  -0.03
Re: 0.5000 0.5000 0.0000  -0.03
Os: 0.1760 0.6760 0.5000  0.04
Os: 0.6760 0.8240 0.5000  0.05
Os: 0.8240 0.3240 0.5000  0.04
Os: 0.3240 0.1760 0.5000  0.05
Co: 0.3801 0.8801 0.0000  0.36
Co: 0.8801 0.6199 0.0000  0.37
Co: 0.6199 0.1199 0.0000  0.36
Co: 0.1199 0.3801 0.0000  0.37

A relaxed structure of CoRe2Os, computed with GGA-PBE.

Output
* DFT formation energy: 0.336 eV/atom
* magnetic moment: 1.08 Bohr magnetons per cell

abc: 4.2981 4.2981 4.2984
angles: 60.00 60.00 60.00
Last column: magnetic moment on the atom in μB.
Sites, in units of the cell vectors:
Co: 0.7500 0.7500 0.7500  1.00
Re: 0.0000 0.0000 0.9999  0.10
Re: 0.2500 0.2500 0.2501  -0.06
Os: 0.5000 0.5000 0.5000  0.06

A relaxed structure of Co2ReOs, computed with GGA-PBE.

Output
* DFT formation energy: 0.053 eV/atom
* magnetic moment: 1.50 Bohr magnetons per cell

abc: 4.5209 4.5209 4.5222
angles: 131.60 131.60 70.84
Last column: magnetic moment on the atom in μB.
Sites, in units of the cell vectors:
Re: 0.2500 0.7500 0.5000  -0.04
Os: 0.5000 0.5000 0.0000  0.04
Co: 0.0000 0.0000 0.0000  0.61
Co: 0.7500 0.2500 0.5000  0.92

A relaxed structure of CoRe2Os, computed with GGA-PBE.

Output
* DFT formation energy: 0.128 eV/atom
* magnetic moment: 0.35 Bohr magnetons per cell

abc: 8.8574 8.8574 8.8574
angles: 17.61 17.61 17.61
Last column: magnetic moment on the atom in μB.
Sites, in units of the cell vectors:
Co: 0.2500 0.2500 0.2500  0.43
Os: 0.7500 0.7500 0.7500  -0.03
Re: 0.9965 0.9965 0.9965  -0.02
Re: 0.5035 0.5035 0.5035  -0.02

Question: The highest magnetic moment belongs to which entry?
Answer: Co2ReOs2